No. 1
VASP calculation (GGA-PBE) on a relaxed TlVSe4 crystal.

Properties
Uncorrected formation energy (eV/atom): -0.38
Distance to the lowest polymorph of the same formula (eV/atom): 0.000
DOS at the Fermi energy (states/eV per atom): 0.0723
ρ (Mg/m³): 5.9

Lattice parameters (Å, degrees): 6.404 7.414 8.308 114.61 105.99 102.49
Atoms (fractional coordinates):
Tl 0.289 0.315 0.616
Tl 0.802 0.665 0.380
V 0.707 0.002 0.992
V 0.272 0.005 0.992
Se 0.120 0.320 0.144
Se 0.027 0.907 0.179
Se 0.323 0.774 0.688
Se 0.637 0.155 0.304
Se 0.855 0.687 0.841
Se 0.552 0.283 0.974
Se 0.463 0.779 0.084
Se 0.952 0.108 0.806

***

No. 2
VASP calculation (GGA-PBE) on a relaxed Tl2VSe crystal.

Properties
Uncorrected formation energy (eV/atom): 0.35
Distance to the lowest polymorph of the same formula (eV/atom): 0.000
DOS at the Fermi energy (states/eV per atom): 0.6075
ρ (Mg/m³): 8.8

Lattice parameters (Å, degrees): 8.184 8.184 6.530 51.20 51.20 90.00
Last column: magnetic moment on the atom in μB.
Atoms (fractional coordinates):
Tl 0.616 0.125 0.250  0.02
Tl 0.134 0.625 0.250  0.02
Tl 0.375 0.384 0.750  0.02
Tl 0.875 0.866 0.750  0.02
Se 0.000 0.000 0.000  0.00
Se 0.750 0.250 0.500  0.00
V 0.500 0.500 0.000  2.88
V 0.250 0.750 0.500  2.88

***

No. 3
VASP calculation (GGA-PBE) on a relaxed Y2Tl3VSe6 crystal.

Properties
Uncorrected formation energy (eV/atom): -1.08
DOS at the Fermi energy (states/eV per atom): 0.6247
ρ (Mg/m³): 6.6

Lattice parameters (Å, degrees): 7.018 7.018 8.072 98.39 98.39 119.83
Last column: magnetic moment on the atom in μB.
Atoms (fractional coordinates):
Y 0.334 0.666 0.000  0.01
Y 0.666 0.334 0.000  0.01
Tl 0.174 0.826 0.500  0.00
Tl 0.826 0.174 0.500  0.00
Tl 0.500 0.500 0.500  -0.01
V 0.000 0.000 0.000  1.98
Se 0.934 0.626 0.804  -0.03
Se 0.758 0.758 0.204  -0.03
Se 0.066 0.374 0.196  -0.03
Se 0.626 0.934 0.804  -0.03
Se 0.242 0.242 0.796  -0.03
Se 0.374 0.066 0.196  -0.03

***

No. 4
VASP calculation (GGA-PBE) on a relaxed Zr2Tl3VSe6 crystal.

Properties
Uncorrected formation energy (eV/atom): -0.86
DOS at the Fermi energy (states/eV per atom): 0.4376
ρ (Mg/m³): 7.1

Lattice parameters (Å, degrees): 6.521 6.521 8.713 97.18 97.18 120.08
Last column: magnetic moment on the atom in μB.
Atoms (fractional coordinates):
Zr 0.334 0.666 0.000  0.10
Zr 0.666 0.334 0.000  0.10
Tl 0.170 0.830 0.500  0.02
Tl 0.830 0.170 0.500  0.02
Tl 0.500 0.500 0.500  0.02
V 0.000 0.000 0.000  2.16
Se 0.938 0.614 0.813  -0.01
Se 0.740 0.740 0.188  -0.01
Se 0.062 0.386 0.187  -0.01
Se 0.614 0.938 0.813  -0.01
Se 0.260 0.260 0.812  -0.01
Se 0.386 0.062 0.187  -0.01

***

No. 5
VASP calculation (GGA-PBE) on a relaxed Tl2WSe crystal.

Properties
Uncorrected formation energy (eV/atom): 1.00
Distance to the lowest polymorph of the same formula (eV/atom): 0.748
DOS at the Fermi energy (states/eV per atom): 0.7536
ρ (Mg/m³): 11.8

Lattice parameters (Å, degrees): 6.097 6.097 6.097 139.45 139.45 58.69
Last column: magnetic moment on the atom in μB.
Atoms (fractional coordinates):
Se 0.750 0.250 0.500  0.03
Tl 0.000 0.000 0.000  0.02
Tl 0.500 0.500 0.000  0.02
W 0.250 0.750 0.500  2.40

***

No. 6
VASP calculation (GGA-PBE) on a relaxed TlW2Se crystal.

Properties
Uncorrected formation energy (eV/atom): 0.81
Distance to the lowest polymorph of the same formula (eV/atom): 0.413
DOS at the Fermi energy (states/eV per atom): 0.6724
ρ (Mg/m³): 13.0

Lattice parameters (Å, degrees): 4.950 4.950 5.883 71.70 71.70 37.78
Atoms (fractional coordinates):
Se 0.750 0.750 0.750
Tl 0.250 0.250 0.250
W 0.008 0.008 0.909
W 0.492 0.492 0.591

***

No. 7
VASP calculation (GGA-PBE) on a relaxed Tl2WSe crystal.

Properties
Uncorrected formation energy (eV/atom): 0.40
Distance to the lowest polymorph of the same formula (eV/atom): 0.147
DOS at the Fermi energy (states/eV per atom): 0.4826
ρ (Mg/m³): 10.9

Lattice parameters (Å, degrees): 7.404 7.404 7.404 155.54 142.25 45.50
Atoms (fractional coordinates):
Se 0.329 0.829 0.500
Tl 0.011 0.011 0.000
Tl 0.690 0.190 0.500
W 0.469 0.469 0.000

***

No. 8
VASP calculation (GGA-PBE) on a relaxed TlW2Se crystal.

Properties
Uncorrected formation energy (eV/atom): 1.07
Distance to the lowest polymorph of the same formula (eV/atom): 0.670
DOS at the Fermi energy (states/eV per atom): 0.8295
ρ (Mg/m³): 14.5

Lattice parameters (Å, degrees): 3.119 4.955 4.815 90.00 90.00 90.00
Atoms (fractional coordinates):
Se 0.500 0.000 0.500
Tl 0.000 0.500 0.500
W 0.000 0.000 0.000
W 0.500 0.500 0.000

***

No. 9
VASP calculation (GGA-PBE) on a relaxed Tl2WSe crystal.

Properties
Uncorrected formation energy (eV/atom): 1.23
Distance to the lowest polymorph of the same formula (eV/atom): 0.976
DOS at the Fermi energy (states/eV per atom): 0.7137
ρ (Mg/m³): 12.2

Lattice parameters (Å, degrees): 5.056 5.056 5.056 60.00 60.00 60.00
Last column: magnetic moment on the atom in μB.
Atoms (fractional coordinates):
Tl 0.250 0.250 0.250  -0.01
Tl 0.750 0.750 0.750  -0.01
Se 0.000 0.000 0.000  -0.06
W 0.500 0.500 0.500  0.35

***

No. 10
VASP calculation (GGA-PBE) on a relaxed TlWSe4 crystal.

Properties
Uncorrected formation energy (eV/atom): 1.12
Distance to the lowest polymorph of the same formula (eV/atom): 1.332
DOS at the Fermi energy (states/eV per atom): 0.8020
ρ (Mg/m³): 8.5

Lattice parameters (Å, degrees): 5.803 5.803 5.803 60.00 60.00 60.00
Last column: magnetic moment on the atom in μB.
Atoms (fractional coordinates):
Tl 0.750 0.750 0.750  0.05
W 0.000 0.000 0.000  2.95
Se 0.882 0.373 0.373  0.02
Se 0.373 0.373 0.882  0.02
Se 0.373 0.882 0.373  0.02
Se 0.373 0.373 0.373  0.02

***

No. 11
VASP calculation (GGA-PBE) on a relaxed Tl2WSe crystal.

Properties
Uncorrected formation energy (eV/atom): 0.83
Distance to the lowest polymorph of the same formula (eV/atom): 0.575
DOS at the Fermi energy (states/eV per atom): 0.7050
ρ (Mg/m³): 12.9

Lattice parameters (Å, degrees): 5.466 5.466 3.021 90.00 90.00 106.82
Atoms (fractional coordinates):
Se 0.000 0.500 0.500
Tl 0.000 0.000 0.000
Tl 0.500 0.500 0.000
W 0.500 0.000 0.500

***

No. 12
VASP calculation (GGA-PBE) on a relaxed Tl2WSe crystal.

Properties
Uncorrected formation energy (eV/atom): 0.52
Distance to the lowest polymorph of the same formula (eV/atom): 0.265
DOS at the Fermi energy (states/eV per atom): 0.6101
ρ (Mg/m³): 12.3

Lattice parameters (Å, degrees): 4.333 3.865 5.737 70.33 90.00 90.00
Atoms (fractional coordinates):
Se 0.500 0.564 0.747
Tl 0.000 0.965 0.945
Tl 0.500 0.279 0.317
W 0.000 0.692 0.491

***

> What is the DOS at the Fermi energy in the tenth record?

0.8020 states/eV per atom